Density functional theory data (meta-GGA SCAN) for LiTi2P3O12 at its PBEsol-relaxed geometry.

Computed properties:
The energy above the lowest structure with this stoichiometry comes out at 0.1 kJ per mole of atoms. The magnetic moment is 0.00 μB/f.u. The space group is No. 14. Its uncorrected formation energy is -2820.7 meV/atom.

a = 8.6413 Å, b = 11.9099 Å, c = 8.5781 Å
α = 90.00°, β = 90.03°, γ = 90.00°
Closest atoms and distances in Å follow each position.
Atoms (fractional coordinates):
Li: 0.2241 0.1821 0.2849  4 O 1.94-2.00
Li: 0.2241 0.3179 0.7849  4 O 1.94-2.00
Li: 0.7759 0.6821 0.2151  4 O 1.94-2.00
Li: 0.7759 0.8179 0.7151  4 O 1.94-2.00
Ti: 0.0292 0.1157 0.7517  6 O 1.87-2.02
Ti: 0.0292 0.3843 0.2517  6 O 1.87-2.02
Ti: 0.4561 0.6183 0.2522  6 O 1.89-2.02
Ti: 0.4561 0.8817 0.7522  6 O 1.89-2.02
Ti: 0.5439 0.1183 0.2478  6 O 1.89-2.02
Ti: 0.5439 0.3817 0.7478  6 O 1.89-2.02
Ti: 0.9708 0.6157 0.7483  6 O 1.87-2.02
Ti: 0.9708 0.8843 0.2483  6 O 1.87-2.02
P: 0.1076 0.6446 0.1028  4 O 1.53-1.54
P: 0.1076 0.8554 0.6028  4 O 1.53-1.54
P: 0.2528 0.0016 0.0346  4 O 1.53-1.54
P: 0.2528 0.4984 0.5346  4 O 1.53-1.54
P: 0.3885 0.1465 0.6061  4 O 1.53-1.55
P: 0.3885 0.3535 0.1061  4 O 1.53-1.55
P: 0.6115 0.6465 0.8939  4 O 1.53-1.55
P: 0.6115 0.8535 0.3939  4 O 1.53-1.55
P: 0.7472 0.5016 0.4654  4 O 1.53-1.54
P: 0.7472 0.9984 0.9654  4 O 1.53-1.54
P: 0.8924 0.1446 0.3972  4 O 1.53-1.54
P: 0.8924 0.3554 0.8972  4 O 1.53-1.54
O: 0.0111 0.2254 0.3228  1 P 1.54
O: 0.0111 0.2746 0.8228  1 P 1.54
O: 0.0633 0.5261 0.1588  1 P 1.54
O: 0.0633 0.9739 0.6588  1 P 1.54
O: 0.0972 0.6536 0.9252  1 P 1.53
O: 0.0972 0.8464 0.4252  1 P 1.53
O: 0.1409 0.5743 0.6269  1 P 1.54
O: 0.1409 0.9257 0.1269  1 P 1.54
O: 0.1633 0.0796 0.9255  1 P 1.53
O: 0.1633 0.4204 0.4255  1 P 1.53
O: 0.2214 0.1798 0.6523  1 P 1.55
O: 0.2214 0.3202 0.1523  1 P 1.55
O: 0.2734 0.6720 0.1549  1 P 1.54
O: 0.2734 0.8280 0.6549  1 P 1.54
O: 0.3392 0.0743 0.1539  1 P 1.54
O: 0.3392 0.4257 0.6539  1 P 1.54
O: 0.3623 0.5752 0.4425  1 P 1.54
O: 0.3623 0.9248 0.9425  1 P 1.54
O: 0.3990 0.1519 0.4270  1 P 1.54
O: 0.3990 0.3481 0.9270  1 P 1.54
O: 0.4275 0.0285 0.6654  1 P 1.53
O: 0.4275 0.4715 0.1654  1 P 1.53
O: 0.4991 0.7320 0.8216  1 P 1.54
O: 0.4991 0.7680 0.3216  1 P 1.54
O: 0.5009 0.2320 0.6784  1 P 1.54
O: 0.5009 0.2680 0.1784  1 P 1.54
O: 0.5725 0.5285 0.8346  1 P 1.53
O: 0.5725 0.9715 0.3346  1 P 1.53
O: 0.6010 0.6519 0.0730  1 P 1.54
O: 0.6010 0.8481 0.5730  1 P 1.54
O: 0.6377 0.0752 0.0575  1 P 1.54
O: 0.6377 0.4248 0.5575  1 P 1.54
O: 0.6607 0.5743 0.3461  1 P 1.54
O: 0.6607 0.9257 0.8461  1 P 1.54
O: 0.7266 0.1720 0.3451  1 P 1.54
O: 0.7266 0.3280 0.8451  1 P 1.54
O: 0.7786 0.6798 0.8477  1 P 1.55
O: 0.7786 0.8202 0.3477  1 P 1.55
O: 0.8367 0.5796 0.5745  1 P 1.53
O: 0.8367 0.9204 0.0745  1 P 1.53
O: 0.8591 0.0743 0.8731  1 P 1.54
O: 0.8591 0.4257 0.3731  1 P 1.54
O: 0.9028 0.1536 0.5748  1 P 1.53
O: 0.9028 0.3464 0.0748  1 P 1.53
O: 0.9367 0.0261 0.3412  1 P 1.54
O: 0.9367 0.4739 0.8412  1 P 1.54
O: 0.9889 0.7254 0.1772  1 P 1.54
O: 0.9889 0.7746 0.6772  1 P 1.54

---

Density functional theory data (meta-GGA SCAN) for LiTiP2O7 at its PBEsol-relaxed geometry.

Computed properties:
The energy above the lowest structure with this stoichiometry comes out at 3.1 kJ per mole of atoms. The magnetic moment is 1.00 μB/f.u. The space group is No. 14. Its uncorrected formation energy is -2672.1 meV/atom.

a = 6.6837 Å, b = 8.1666 Å, c = 9.3676 Å
α = 90.00°, β = 106.54°, γ = 90.00°
Closest atoms and distances in Å follow each position.
Atoms (fractional coordinates):
Li: 0.2141 0.1160 0.0607  3 O 2.01-2.14
Li: 0.2141 0.3840 0.5607  3 O 2.01-2.14
Li: 0.7859 0.6160 0.4393  3 O 2.01-2.14
Li: 0.7859 0.8840 0.9393  3 O 2.01-2.14
Ti: 0.2802 0.7270 0.9947  6 O 1.95-2.13
Ti: 0.2802 0.7730 0.4947  6 O 1.95-2.13
Ti: 0.7198 0.2270 0.5053  6 O 1.95-2.13
Ti: 0.7198 0.2730 0.0053  6 O 1.95-2.13
P: 0.0461 0.5376 0.2127  4 O 1.52-1.62
P: 0.0461 0.9624 0.7127  4 O 1.52-1.62
P: 0.4609 0.0810 0.7081  4 O 1.51-1.62
P: 0.4609 0.4190 0.2081  4 O 1.51-1.62
P: 0.5391 0.5810 0.7919  4 O 1.51-1.62
P: 0.5391 0.9190 0.2919  4 O 1.51-1.62
P: 0.9539 0.0376 0.2873  4 O 1.52-1.62
P: 0.9539 0.4624 0.7873  4 O 1.52-1.62
O: 0.0657 0.5940 0.3734  1 P 1.54
O: 0.0657 0.9060 0.8734  1 P 1.54
O: 0.0670 0.6762 0.1092  1 P 1.52
O: 0.0670 0.8238 0.6092  1 P 1.52
O: 0.1523 0.5611 0.8472  1 P 1.52
O: 0.1523 0.9389 0.3472  1 P 1.52
O: 0.2279 0.0979 0.7258  2 P 1.62
O: 0.2279 0.4021 0.2258  2 P 1.62
O: 0.3923 0.5827 0.6323  1 P 1.54
O: 0.3923 0.9173 0.1323  1 P 1.54
O: 0.4728 0.5824 0.1349  1 P 1.51
O: 0.4728 0.9176 0.6349  1 P 1.51
O: 0.4808 0.2299 0.6136  1 P 1.53
O: 0.4808 0.2701 0.1136  1 P 1.53
O: 0.5192 0.7299 0.8864  1 P 1.53
O: 0.5192 0.7701 0.3864  1 P 1.53
O: 0.5272 0.0824 0.3651  1 P 1.51
O: 0.5272 0.4176 0.8651  1 P 1.51
O: 0.6077 0.0827 0.8677  1 P 1.54
O: 0.6077 0.4173 0.3677  1 P 1.54
O: 0.7721 0.5979 0.7742  2 P 1.62
O: 0.7721 0.9021 0.2742  2 P 1.62
O: 0.8477 0.0611 0.6528  1 P 1.52
O: 0.8477 0.4389 0.1528  1 P 1.52
O: 0.9330 0.1762 0.3908  1 P 1.52
O: 0.9330 0.3238 0.8908  1 P 1.52
O: 0.9343 0.0940 0.1266  1 P 1.54
O: 0.9343 0.4060 0.6266  1 P 1.54

---

Question: Among the records above, which one has the highest magnetic moment?
Answer: LiTiP2O7

---

Question: Look up the energy above the lowest structure with this stoichiometry of the second one.
Answer: 3.1 kJ per mole of atoms

---

Question: The highest magnetic moment belongs to which entry?
Answer: LiTiP2O7